Computed, not measured: a relaxed structure of Li2Pr2AlO6 at the PBE level of DFT.

Calculated values
Crystal system: trigonal
Density in kg/m3: 5462
Uncorrected formation energy in kJ/mol of formula units: -2590

Cell: 5.745 5.745 5.745 Å, 57.79 57.79 57.79°
Fractional coordinates of all 11 atoms:
1 Li 0.070 0.070 0.070
2 Li 0.930 0.930 0.930
3 Pr 0.278 0.278 0.278
4 Pr 0.722 0.722 0.722
5 Al 0.500 0.500 0.500
6 O 0.264 0.264 0.721
7 O 0.264 0.721 0.264
8 O 0.279 0.736 0.736
9 O 0.721 0.264 0.264
10 O 0.736 0.279 0.736
11 O 0.736 0.736 0.279